Here is an optimized crystal structure of Li5Fe2P2C2O14 from the Alexandria database. Energies are from PBE+U.

Cell and atoms, written as POSCAR:
```
Li5Fe2P2C2O14
1.0
-0.990 3.882 -3.156
3.020 -3.458 -4.474
-7.533 -3.796 -1.142
Li Fe P C O
5 2 2 2 14
direct
0.300 0.043 0.719
0.373 0.565 0.744
0.645 0.602 0.213
0.812 0.839 0.875
0.755 0.141 0.224
0.211 0.841 0.315
0.830 0.333 0.630
0.297 0.344 0.395
0.733 0.829 0.556
0.335 0.854 0.019
0.758 0.345 0.920
0.089 0.842 0.043
0.185 0.400 0.559
0.130 0.152 0.311
0.297 0.530 0.294
0.413 0.839 0.877
0.442 0.881 0.540
0.561 0.302 0.804
0.513 0.879 0.141
0.593 0.289 0.429
0.716 0.357 0.065
0.757 0.645 0.668
0.839 0.770 0.397
0.988 0.375 0.867
0.902 0.021 0.653
```

**Calculated volume**: 275.5 Å³/cell
**Raw total energy**: -6.75 eV per atom
**Energy above the lowest structure with this stoichiometry**: 0 meV/atom